NpHgBi | Alexandria | PBE | optimized geometry; total DFT energy (no corrections) = -5.56 eV per atom; N(E_F) = 2.294 states/eV per atom; ΔH_f (0 K) = 0.44 eV per formula unit; ΔE to the lowest computed polymorph = 84 meV per atom
1.0
-2.845 1.491 -0.783
-1.665 -2.263 1.743
2.834 4.779 5.778
Hg Bi Np
1 1 1
Direct
0.627 0.627 0.253
0.943 0.943 0.886
0.280 0.280 0.560